No. 1
This record from Alexandria via LeMat-Bulk describes a relaxed Cr2Se3 crystal. The functional is GGA-PBE.

Lattice parameters (Å, degrees): 6.356 6.358 6.924 62.66 62.68 59.98
Sites, in units of the cell vectors:
Cr: 0.324 0.324 0.027
Cr: 0.500 0.500 0.500
Cr: 0.000 0.000 0.000
Cr: 0.676 0.676 0.973
Se: 0.405 0.739 0.761
Se: 0.261 0.905 0.239
Se: 0.739 0.095 0.761
Se: 0.595 0.261 0.239
Se: 0.905 0.595 0.239
Se: 0.095 0.405 0.761

- Total DFT energy (no corrections): -64.69 eV per cell

No. 2
This record from Alexandria via LeMat-Bulk describes a relaxed Cr2Se3 crystal. The functional is GGA-PBE.

Lattice parameters (Å, degrees): 9.647 9.647 9.647 21.61 21.61 21.61
Sites, in units of the cell vectors:
Cr: 0.608 0.608 0.608
Cr: 0.392 0.392 0.392
Se: 0.000 0.000 0.000
Se: 0.227 0.227 0.227
Se: 0.773 0.773 0.773

- Total DFT energy (no corrections): -32.04 eV per cell

No. 3
This record from Alexandria via LeMat-Bulk describes a relaxed CrSe crystal. The functional is GGA-PBE.

Lattice parameters (Å, degrees): 7.131 7.131 7.131 90.00 90.00 90.00
Sites, in units of the cell vectors:
Cr: 0.250 0.500 0.000
Cr: 0.750 0.500 0.000
Cr: 0.500 0.000 0.250
Cr: 0.500 0.000 0.750
Cr: 0.000 0.250 0.500
Cr: 0.000 0.750 0.500
Se: 0.250 0.000 0.500
Se: 0.750 0.000 0.500
Se: 0.000 0.500 0.250
Se: 0.000 0.500 0.750
Se: 0.500 0.250 0.000
Se: 0.500 0.750 0.000

- Total DFT energy (no corrections): -80.25 eV per cell

No. 4
This record from Alexandria via LeMat-Bulk describes a relaxed Cr3Se crystal. The functional is GGA-PBE.

Lattice parameters (Å, degrees): 4.682 4.682 4.682 116.09 116.09 116.09
Sites, in units of the cell vectors:
Cr: 0.000 0.000 0.000
Cr: 0.500 0.500 0.000
Cr: 0.000 0.500 0.500
Se: 0.500 0.000 0.500

- Energy relative to the lowest polymorph listed for this composition: 0.86 eV/f.u.

No. 5
This record from Alexandria via LeMat-Bulk describes a relaxed Cr3Se crystal. The functional is GGA-PBE.

Lattice parameters (Å, degrees): 4.161 4.161 4.161 60.00 60.00 60.00
Sites, in units of the cell vectors:
Cr: 0.000 0.000 0.000
Cr: 0.250 0.250 0.250
Cr: 0.500 0.500 0.500
Se: 0.750 0.750 0.750

- Energy relative to the lowest polymorph listed for this composition: 0.46 eV/f.u.

No. 6
This record from Alexandria via LeMat-Bulk describes a relaxed CrSe2 crystal. The functional is GGA-PBE.

Lattice parameters (Å, degrees): 7.765 7.765 5.577 70.60 70.60 25.89
Sites, in units of the cell vectors:
Cr: 0.513 0.513 0.244
Cr: 0.487 0.487 0.756
Se: 0.125 0.125 0.004
Se: 0.875 0.875 0.996
Se: 0.108 0.108 0.541
Se: 0.892 0.892 0.459

- Total DFT energy (no corrections): -34.19 eV per cell

No. 7
This record from Alexandria via LeMat-Bulk describes a relaxed CrSe crystal. The functional is GGA-PBE.

Lattice parameters (Å, degrees): 3.628 5.675 12.232 90.00 90.00 90.00
Sites, in units of the cell vectors:
Cr: 0.000 0.993 0.632
Cr: 0.500 0.007 0.868
Cr: 0.500 0.007 0.132
Cr: 0.000 0.993 0.368
Cr: 0.000 0.643 0.000
Cr: 0.500 0.357 0.500
Se: 0.000 0.741 0.803
Se: 0.500 0.259 0.697
Se: 0.500 0.259 0.303
Se: 0.000 0.741 0.197
Se: 0.000 0.660 0.500
Se: 0.500 0.340 0.000

- Total DFT energy (no corrections): -80.44 eV per cell

No. 8
This record from Alexandria via LeMat-Bulk describes a relaxed Cr2Se crystal. The functional is GGA-PBE.

Lattice parameters (Å, degrees): 4.429 4.429 6.658 71.84 71.84 39.93
Sites, in units of the cell vectors:
Cr: 0.183 0.183 0.865
Cr: 0.838 0.838 0.537
Cr: 0.817 0.817 0.135
Cr: 0.162 0.162 0.463
Se: 0.514 0.514 0.226
Se: 0.486 0.486 0.774

- Energy relative to the lowest polymorph listed for this composition: 0.92 eV/f.u.

No. 9
This record from Alexandria via LeMat-Bulk describes a relaxed CrSe crystal. The functional is GGA-PBE.

Lattice parameters (Å, degrees): 9.890 9.890 9.890 17.61 17.61 17.61
Sites, in units of the cell vectors:
Cr: 0.008 0.008 0.008
Cr: 0.742 0.742 0.742
Se: 0.465 0.465 0.465
Se: 0.285 0.285 0.285

- Total DFT energy (no corrections): -26.32 eV per cell

No. 10
This record from Alexandria via LeMat-Bulk describes a relaxed CrSe crystal. The functional is GGA-PBE.

Lattice parameters (Å, degrees): 3.773 3.773 6.120 90.00 90.00 120.00
Sites, in units of the cell vectors:
Cr: 0.000 0.000 0.000
Cr: 0.000 0.000 0.500
Se: 0.333 0.667 0.250
Se: 0.667 0.333 0.750

- Total DFT energy (no corrections): -27.49 eV per cell

No. 11
This record from Alexandria via LeMat-Bulk describes a relaxed Cr3Se crystal. The functional is GGA-PBE.

Lattice parameters (Å, degrees): 7.515 7.515 7.515 22.22 22.22 22.22
Sites, in units of the cell vectors:
Cr: 0.754 0.754 0.754
Cr: 0.500 0.500 0.500
Cr: 0.246 0.246 0.246
Se: 0.000 0.000 0.000

- Energy relative to the lowest polymorph listed for this composition: 0.67 eV/f.u.

No. 12
This record from Alexandria via LeMat-Bulk describes a relaxed CrSe5 crystal. The functional is GGA-PBE.

Lattice parameters (Å, degrees): 3.040 3.040 13.888 90.00 90.00 90.00
Sites, in units of the cell vectors:
Cr: 0.500 0.500 0.000
Se: 0.000 0.000 0.894
Se: 0.000 0.000 0.106
Se: 0.500 0.500 0.635
Se: 0.500 0.500 0.365
Se: 0.000 0.000 0.500

- Total DFT energy (no corrections): -25.39 eV per cell

No. 13
This record from Alexandria via LeMat-Bulk describes a relaxed CrSe crystal. The functional is GGA-PBE.

Lattice parameters (Å, degrees): 7.543 7.543 3.198 90.00 90.00 155.52
Sites, in units of the cell vectors:
Cr: 0.789 0.211 0.750
Cr: 0.211 0.789 0.250
Se: 0.626 0.374 0.750
Se: 0.374 0.626 0.250

- Total DFT energy (no corrections): -26.49 eV per cell

No. 14
This record from Alexandria via LeMat-Bulk describes a relaxed CrSe2 crystal. The functional is GGA-PBE.

Lattice parameters (Å, degrees): 3.507 3.499 12.227 90.00 90.00 120.07
Sites, in units of the cell vectors:
Cr: 0.000 0.500 0.500
Cr: 0.500 0.500 0.000
Se: 0.166 0.833 0.881
Se: 0.334 0.167 0.381
Se: 0.666 0.833 0.619
Se: 0.834 0.167 0.119

- Total DFT energy (no corrections): -35.90 eV per cell

No. 15
This record from Alexandria via LeMat-Bulk describes a relaxed Cr6Se7 crystal. The functional is GGA-PBE.

Lattice parameters (Å, degrees): 9.749 9.749 9.749 37.03 37.03 37.03
Sites, in units of the cell vectors:
Cr: 0.930 0.930 0.930
Cr: 0.070 0.070 0.070
Cr: 0.800 0.800 0.800
Cr: 0.200 0.200 0.200
Cr: 0.666 0.666 0.666
Cr: 0.334 0.334 0.334
Se: 0.942 0.435 0.435
Se: 0.435 0.435 0.942
Se: 0.435 0.942 0.435
Se: 0.058 0.565 0.565
Se: 0.565 0.058 0.565
Se: 0.565 0.565 0.058
Se: 0.500 0.500 0.500

- Total DFT energy (no corrections): -76.53 eV per cell

No. 16
This record from Alexandria via LeMat-Bulk describes a relaxed CrSe2 crystal. The functional is GGA-PBE.

Lattice parameters (Å, degrees): 3.646 5.336 9.444 87.66 101.14 89.99
Sites, in units of the cell vectors:
Cr: 0.000 0.500 0.000
Cr: 0.338 0.026 0.675
Cr: 0.662 0.974 0.325
Se: 0.881 0.298 0.762
Se: 0.119 0.702 0.238
Se: 0.787 0.766 0.575
Se: 0.545 0.214 0.089
Se: 0.455 0.786 0.911
Se: 0.213 0.234 0.425

- Total DFT energy (no corrections): -53.64 eV per cell

No. 17
This record from Alexandria via LeMat-Bulk describes a relaxed Cr2Se crystal. The functional is GGA-PBE.

Lattice parameters (Å, degrees): 5.315 5.315 5.390 78.60 78.60 32.72
Sites, in units of the cell vectors:
Cr: 0.684 0.684 0.860
Cr: 0.029 0.029 0.188
Cr: 0.971 0.971 0.812
Cr: 0.316 0.316 0.140
Se: 0.352 0.352 0.591
Se: 0.648 0.648 0.409

- Energy relative to the lowest polymorph listed for this composition: 0.79 eV/f.u.

No. 18
This record from Alexandria via LeMat-Bulk describes a relaxed CrSe5 crystal. The functional is GGA-PBE.

Lattice parameters (Å, degrees): 7.399 7.399 2.928 90.00 90.00 120.00
Sites, in units of the cell vectors:
Cr: 0.000 0.000 0.500
Se: 0.743 0.000 0.000
Se: 0.257 0.257 0.000
Se: 0.000 0.743 0.000
Se: 0.667 0.333 0.500
Se: 0.333 0.667 0.500

- Total DFT energy (no corrections): -25.72 eV per cell

No. 19
This record from Alexandria via LeMat-Bulk describes a relaxed CrSe crystal. The functional is GGA-PBE.

Lattice parameters (Å, degrees): 6.519 6.519 6.471 64.42 64.42 31.89
Sites, in units of the cell vectors:
Cr: 0.894 0.894 0.048
Cr: 0.715 0.715 0.542
Cr: 0.389 0.389 0.705
Se: 0.381 0.381 0.316
Se: 0.049 0.049 0.641
Se: 0.738 0.738 0.916

- Total DFT energy (no corrections): -40.38 eV per cell

No. 20
This record from Alexandria via LeMat-Bulk describes a relaxed CrSe crystal. The functional is GGA-PBE.

Lattice parameters (Å, degrees): 3.386 3.386 6.587 90.00 90.00 90.00
Sites, in units of the cell vectors:
Cr: 0.000 0.000 0.999
Cr: 0.500 0.500 0.251
Se: 0.000 0.000 0.380
Se: 0.500 0.500 0.870

- Total DFT energy (no corrections): -27.19 eV per cell

No. 21
This record from Alexandria via LeMat-Bulk describes a relaxed CrSe2 crystal. The functional is GGA-PBE.

Lattice parameters (Å, degrees): 3.514 5.956 12.615 90.00 90.00 90.00
Sites, in units of the cell vectors:
Cr: 0.250 0.721 0.502
Cr: 0.750 0.779 0.002
Cr: 0.250 0.221 0.998
Cr: 0.750 0.279 0.498
Se: 0.250 0.912 0.875
Se: 0.750 0.588 0.375
Se: 0.250 0.412 0.625
Se: 0.750 0.088 0.125
Se: 0.250 0.083 0.394
Se: 0.750 0.417 0.894
Se: 0.250 0.583 0.106
Se: 0.750 0.917 0.606

- Total DFT energy (no corrections): -71.96 eV per cell

No. 22
This record from Alexandria via LeMat-Bulk describes a relaxed Cr2Se crystal. The functional is GGA-PBE.

Lattice parameters (Å, degrees): 4.272 4.272 4.272 139.68 126.95 68.68
Sites, in units of the cell vectors:
Cr: 0.336 0.336 0.000
Cr: 0.664 0.664 0.000
Se: 0.000 0.000 0.000

- Energy relative to the lowest polymorph listed for this composition: 1.35 eV/f.u.

No. 23
This record from Alexandria via LeMat-Bulk describes a relaxed Cr4Se3 crystal. The functional is GGA-PBE.

Lattice parameters (Å, degrees): 6.010 6.010 4.134 90.00 90.00 120.00
Sites, in units of the cell vectors:
Cr: 0.000 0.000 0.291
Cr: 0.000 0.000 0.709
Cr: 0.667 0.333 0.500
Cr: 0.333 0.667 0.500
Se: 0.000 0.500 0.000
Se: 0.500 0.500 0.000
Se: 0.500 0.000 0.000

- Total DFT energy (no corrections): -43.96 eV per cell

No. 24
This record from Alexandria via LeMat-Bulk describes a relaxed Cr2Se3 crystal. The functional is GGA-PBE.

Lattice parameters (Å, degrees): 7.743 6.645 6.377 72.93 55.12 51.94
Sites, in units of the cell vectors:
Cr: 0.665 0.095 0.749
Cr: 0.491 0.749 0.095
Cr: 0.501 0.759 0.585
Cr: 0.155 0.585 0.759
Se: 0.263 0.137 0.890
Se: 0.711 0.890 0.137
Se: 0.360 0.539 0.987
Se: 0.113 0.987 0.539
Se: 0.871 0.629 0.629
Se: 0.621 0.379 0.379

- Total DFT energy (no corrections): -63.55 eV per cell

No. 25
This record from Alexandria via LeMat-Bulk describes a relaxed Cr2Se crystal. The functional is GGA-PBE.

Lattice parameters (Å, degrees): 3.592 4.253 5.997 90.00 90.00 90.00
Sites, in units of the cell vectors:
Cr: 0.793 0.000 0.388
Cr: 0.207 0.000 0.612
Cr: 0.293 0.500 0.112
Cr: 0.707 0.500 0.888
Se: 0.000 0.000 0.000
Se: 0.500 0.500 0.500

- Energy relative to the lowest polymorph listed for this composition: 1.77 eV/f.u.

No. 26
This record from Alexandria via LeMat-Bulk describes a relaxed CrSe5 crystal. The functional is GGA-PBE.

Lattice parameters (Å, degrees): 7.465 7.465 7.851 66.81 66.81 24.18
Sites, in units of the cell vectors:
Cr: 0.003 0.003 0.083
Se: 0.674 0.674 0.644
Se: 0.355 0.355 0.223
Se: 0.450 0.450 0.893
Se: 0.032 0.032 0.364
Se: 0.653 0.653 0.960

- Total DFT energy (no corrections): -27.29 eV per cell